# MgNi2O3

MgNi2O3 after structural relaxation (PBE+U, Alexandria).

a b c (Å): 5.186 5.186 5.170
angles (deg): 99.65 99.65 119.98
Atoms (fractional coordinates):
Mg  0.167  0.833  0.000
Mg  0.833  0.167  0.000
Ni  0.000  0.000  0.500
Ni  0.335  0.665  0.500
Ni  0.500  0.500  0.000
Ni  0.665  0.335  0.500
O  0.083  0.417  0.751
O  0.249  0.249  0.249
O  0.417  0.083  0.751
O  0.583  0.917  0.249
O  0.751  0.751  0.751
O  0.917  0.583  0.249

Properties
ρ   5.55 g/cm³
Space group   No. 12
E   -62.70 eV for the cell shown
Spin magnetization   8.00 Bohr magnetons per cell
DOS at the Fermi energy   0.00 states/eV per atom